No. 1
Material: Cs2TeRh2
Method: DFT, SCAN
State: PBEsol geometry

POSCAR file:
```
Cs2TeRh2
1.0
-0.666 -3.347 -3.458
4.810 -0.351 -0.587
-1.883 -2.429 6.127
Cs Te Rh
2 1 2
Direct
0.250 0.750 0.500 Cs
0.750 0.250 0.500 Cs
0.000 0.000 0.000 Te
0.600 0.600 0.199 Rh
0.400 0.400 0.801 Rh
```

Summary:
The value obtained for the energy relative to the elements, uncorrected is 89.49 kJ per mole of atoms. The magnetization comes out at 2.19 μB per cell.

No. 2
Material: K2FeTe
Method: DFT, SCAN
State: PBEsol geometry

POSCAR file:
```
K2FeTe
1.0
4.623 0.000 0.000
0.000 5.840 0.000
-2.312 -2.920 4.953
K Te Fe
2 1 1
Direct
0.974 0.974 0.948 K
0.784 0.284 0.569 K
0.584 0.584 0.168 Te
0.157 0.657 0.315 Fe
```

Summary:
The value obtained for the energy relative to the elements, uncorrected is -5.71 kJ per mole of atoms. The magnetization comes out at 2.03 μB per cell.

No. 3
Material: SrTcSb2
Method: DFT, SCAN
State: PBEsol geometry

POSCAR file:
```
SrTcSb2
1.0
-0.215 -2.625 1.985
3.025 -3.394 -4.160
3.010 4.291 3.260
Sb Sr Tc
2 1 1
Direct
0.906 0.023 0.813 Sb
0.724 0.245 0.449 Sb
0.561 0.597 0.122 Sr
0.309 0.635 0.617 Tc
```

Summary:
The value obtained for the energy relative to the elements, uncorrected is -10.40 kJ per mole of atoms. The magnetization comes out at 0.71 μB per cell.

No. 4
Material: ZnSi2Br
Method: DFT, SCAN
State: PBEsol geometry

POSCAR file:
```
ZnSi2Br
1.0
3.560 0.000 0.000
0.000 3.560 0.000
0.000 0.000 6.309
Zn Si Br
1 2 1
Direct
0.500 0.500 0.500 Zn
0.500 0.000 0.000 Si
0.000 0.500 0.000 Si
0.000 0.000 0.500 Br
```

Summary:
The value obtained for the energy relative to the elements, uncorrected is 53.82 kJ per mole of atoms. The magnetization comes out at 0.00 μB per cell.